No. 1
DFT (SCAN) results for Hf2B2Ru at its PBEsol-relaxed geometry.

Geometry as CIF:
```
data_Hf2B2Ru
_chemical_formula_sum 'Hf4 B4 Ru2'
_symmetry_space_group_name_H-M 'P 4/m b m'
_symmetry_Int_Tables_number 127
_symmetry_space_group_name_Hall '-P 4 2ab'
_cell_length_a 6.068
_cell_length_b 6.068
_cell_length_c 3.386
_cell_angle_alpha 90.00
_cell_angle_beta 90.00
_cell_angle_gamma 90.00
loop_
_atom_site_label
_atom_site_type_symbol
_atom_site_fract_x
_atom_site_fract_y
_atom_site_fract_z
_atom_site_occupancy
Hf1 Hf 0.180 0.320 0.000 1
B1 B 0.108 0.608 0.500 1
Ru1 Ru 0.000 0.000 0.500 1
```

Output
As for the total energy: -35.931 eV per atom.

=====

No. 2
DFT (SCAN) results for Ge3PO at its PBEsol-relaxed geometry.

Geometry as CIF:
```
data_Ge3PO
_chemical_formula_sum 'Ge3 P1 O1'
_symmetry_space_group_name_H-M 'P m -3 m'
_symmetry_Int_Tables_number 221
_symmetry_space_group_name_Hall '-P 4 2 3'
_cell_length_a 4.397
_cell_length_b 4.397
_cell_length_c 4.397
_cell_angle_alpha 90.00
_cell_angle_beta 90.00
_cell_angle_gamma 90.00
loop_
_atom_site_label
_atom_site_type_symbol
_atom_site_fract_x
_atom_site_fract_y
_atom_site_fract_z
_atom_site_occupancy
Ge1 Ge 0.000 0.000 0.500 1
P1 P 0.500 0.500 0.500 1
O1 O 0.000 0.000 0.000 1
```

Output
As for the total energy: -14.464 eV per atom. The uncorrected formation energy comes out at 0.315 eV/atom.

=====

No. 3
DFT (SCAN) results for ZnRu2Rh at its PBEsol-relaxed geometry.

Geometry as CIF:
```
data_ZnRu2Rh
_chemical_formula_sum 'Zn2 Ru4 Rh2'
_symmetry_space_group_name_H-M 'C m m m'
_symmetry_Int_Tables_number 65
_symmetry_space_group_name_Hall '-C 2 2'
_cell_length_a 2.691
_cell_length_b 4.548
_cell_length_c 8.891
_cell_angle_alpha 90.00
_cell_angle_beta 90.00
_cell_angle_gamma 90.00
loop_
_atom_site_label
_atom_site_type_symbol
_atom_site_fract_x
_atom_site_fract_y
_atom_site_fract_z
_atom_site_occupancy
Zn1 Zn 0.000 0.000 0.000 1
Ru1 Ru 0.000 0.500 0.248 1
Rh1 Rh 0.000 0.000 0.500 1
```

Output
As for the total energy: -28.972 eV per atom.

=====

No. 4
DFT (SCAN) results for BeInNi at its PBEsol-relaxed geometry.

Geometry as CIF:
```
data_BeInNi
_chemical_formula_sum 'Be2 In2 Ni2'
_symmetry_space_group_name_H-M 'I 4 m m'
_symmetry_Int_Tables_number 107
_symmetry_space_group_name_Hall 'I 4 -2'
_cell_length_a 2.977
_cell_length_b 2.977
_cell_length_c 8.745
_cell_angle_alpha 90.00
_cell_angle_beta 90.00
_cell_angle_gamma 90.00
loop_
_atom_site_label
_atom_site_type_symbol
_atom_site_fract_x
_atom_site_fract_y
_atom_site_fract_z
_atom_site_occupancy
Be1 Be 0.000 0.000 0.000 1
In1 In 0.000 0.000 0.293 1
Ni1 Ni 0.000 0.000 0.594 1
```

Output
As for the total energy: -18.043 eV per atom. As for the energy above the most stable polymorph in this dataset: 0 meV/atom.

=====

no.,M_tot (μB/f.u.)
1,0.0
2,0.0
3,2.0
4,0.0